Entry 1:
This record from Alexandria describes a relaxed Tb3YIn3 crystal. The functional is PBE.

Computed properties:
- ΔH_f (0 K) (eV per atom) = -0.213
- E_tot (Ry/atom) = -0.3156
- density of states at the Fermi level (states/eV/f.u.) = 7.2

Structure (CIF):
```
data_Tb3YIn3
_space_group_name_H-M_alt 'P 63/m'
_space_group_IT_number 176
_space_group_name_Hall '-P 6c'
_cell_length_a 9.0801
_cell_length_b 9.0801
_cell_length_c 5.5408
_cell_angle_alpha 90.00
_cell_angle_beta 90.00
_cell_angle_gamma 120.00
loop_
_atom_site_label
_atom_site_type_symbol
_atom_site_fract_x
_atom_site_fract_y
_atom_site_fract_z
_atom_site_occupancy
Tb1 Tb 0.0952 0.6419 0.2500 1
Y1 Y 0.3333 0.6667 0.7500 1
In1 In 0.0485 0.8156 0.7500 1
```

=====

Entry 2:
This record from Alexandria describes a relaxed Tb5Y12In3 crystal. The functional is PBE.

Computed properties:
- ΔH_f (0 K) (eV per atom) = 0.806
- E_tot (Ry/atom) = -0.3411
- density of states at the Fermi level (states/eV/f.u.) = 36.0

Structure (CIF):
```
data_Tb5Y12In3
_space_group_name_H-M_alt 'I a -3 d'
_space_group_IT_number 230
_space_group_name_Hall '-I 4bd 2c 3'
_cell_length_a 18.463
_cell_length_b 18.463
_cell_length_c 18.463
_cell_angle_alpha 90.00
_cell_angle_beta 90.00
_cell_angle_gamma 90.00
loop_
_atom_site_label
_atom_site_type_symbol
_atom_site_fract_x
_atom_site_fract_y
_atom_site_fract_z
_atom_site_occupancy
Tb1 Tb 0.000 0.000 0.000 1
Tb2 Tb 0.000 0.250 0.375 1
Y1 Y 0.003 0.079 0.651 1
In1 In 0.000 0.250 0.125 1
```

=====

Entry 3:
This record from Alexandria describes a relaxed Tb12YIn6 crystal. The functional is PBE.

Computed properties:
- ΔH_f (0 K) (eV per atom) = -0.025
- E_tot (Ry/atom) = -0.3053
- density of states at the Fermi level (states/eV/f.u.) = 28.6

Structure (CIF):
```
data_Tb12YIn6
_space_group_name_H-M_alt 'R -3 m'
_space_group_IT_number 166
_space_group_name_Hall '-R 3 2"'
_cell_length_a 13.9510
_cell_length_b 13.9510
_cell_length_c 11.2049
_cell_angle_alpha 90.00
_cell_angle_beta 90.00
_cell_angle_gamma 120.00
loop_
_atom_site_label
_atom_site_type_symbol
_atom_site_fract_x
_atom_site_fract_y
_atom_site_fract_z
_atom_site_occupancy
Tb1 Tb 0.0000 0.3786 0.0000 1
Tb2 Tb 0.0887 0.1773 0.8533 1
Y1 Y 0.0000 0.0000 0.5000 1
In1 In 0.0298 0.5149 0.7676 1
```

=====

Entry 4:
This record from Alexandria describes a relaxed TbY6In5 crystal. The functional is PBE.

Computed properties:
- ΔH_f (0 K) (eV per atom) = -0.410
- E_tot (Ry/atom) = -0.3799
- density of states at the Fermi level (states/eV/f.u.) = 12.1

Structure (CIF):
```
data_TbY6In5
_space_group_name_H-M_alt 'I m m m'
_space_group_IT_number 71
_space_group_name_Hall '-I 2 2'
_cell_length_a 4.996
_cell_length_b 8.773
_cell_length_c 15.117
_cell_angle_alpha 90.00
_cell_angle_beta 90.00
_cell_angle_gamma 90.00
loop_
_atom_site_label
_atom_site_type_symbol
_atom_site_fract_x
_atom_site_fract_y
_atom_site_fract_z
_atom_site_occupancy
Tb1 Tb 0.000 0.000 0.000 1
Y1 Y 0.000 0.227 0.500 1
Y2 Y 0.000 0.264 0.170 1
In1 In 0.000 0.000 0.323 1
In2 In 0.000 0.500 0.000 1
In3 In 0.000 0.500 0.349 1
```

=====

Entry 5:
This record from Alexandria describes a relaxed TbY4In crystal. The functional is PBE.

Computed properties:
- ΔH_f (0 K) (eV per atom) = -0.148
- E_tot (Ry/atom) = -0.4179
- density of states at the Fermi level (states/eV/f.u.) = 9.5

Structure (CIF):
```
data_TbY4In
_space_group_name_H-M_alt 'P 1 21/m 1'
_space_group_IT_number 11
_cell_length_a 5.502
_cell_length_b 6.875
_cell_length_c 9.658
_cell_angle_alpha 90.00
_cell_angle_beta 90.05
_cell_angle_gamma 90.00
loop_
_space_group_symop_operation_xyz
'x,y,z'
'-x,-y,-z'
'-x,y+1/2,-z'
'x,-y+1/2,z'
loop_
_atom_site_label
_atom_site_type_symbol
_atom_site_fract_x
_atom_site_fract_y
_atom_site_fract_z
_atom_site_occupancy
Tb1 Tb 0.250 0.250 0.073 1
Y1 Y 0.249 0.505 0.747 1
Y2 Y 0.251 0.250 0.419 1
Y3 Y 0.251 0.750 0.108 1
In1 In 0.249 0.750 0.428 1
```

=====

Entry 6:
This record from Alexandria describes a relaxed TbYIn6 crystal. The functional is PBE.

Computed properties:
- ΔH_f (0 K) (eV per atom) = -0.361
- E_tot (Ry/atom) = -0.2794
- density of states at the Fermi level (states/eV/f.u.) = 4.7

Structure (CIF):
```
data_TbYIn6
_space_group_name_H-M_alt 'P -6 m 2'
_space_group_IT_number 187
_space_group_name_Hall 'P -6 2'
_cell_length_a 6.6186
_cell_length_b 6.6186
_cell_length_c 5.3117
_cell_angle_alpha 90.00
_cell_angle_beta 90.00
_cell_angle_gamma 120.00
loop_
_atom_site_label
_atom_site_type_symbol
_atom_site_fract_x
_atom_site_fract_y
_atom_site_fract_z
_atom_site_occupancy
Tb1 Tb 0.0000 0.0000 0.0000 1
Y1 Y 0.3333 0.6667 0.5000 1
In1 In 0.3439 0.1719 0.5000 1
In2 In 0.5051 0.0102 0.0000 1
```

=====

Entry 7:
This record from Alexandria describes a relaxed Tb3YIn4 crystal. The functional is PBE.

Computed properties:
- ΔH_f (0 K) (eV per atom) = -0.322
- E_tot (Ry/atom) = -0.3113
- density of states at the Fermi level (states/eV/f.u.) = 5.8

Structure (CIF):
```
data_Tb3YIn4
_space_group_name_H-M_alt 'I m m m'
_space_group_IT_number 71
_space_group_name_Hall '-I 2 2'
_cell_length_a 3.499
_cell_length_b 7.113
_cell_length_c 18.645
_cell_angle_alpha 90.00
_cell_angle_beta 90.00
_cell_angle_gamma 90.00
loop_
_atom_site_label
_atom_site_type_symbol
_atom_site_fract_x
_atom_site_fract_y
_atom_site_fract_z
_atom_site_occupancy
Tb1 Tb 0.000 0.000 0.000 1
Tb2 Tb 0.000 0.500 0.220 1
Y1 Y 0.000 0.000 0.500 1
In1 In 0.000 0.288 0.374 1
```

=====

Entry 8:
This record from Alexandria describes a relaxed TbY12In3 crystal. The functional is PBE.

Computed properties:
- ΔH_f (0 K) (eV per atom) = -0.195
- E_tot (Ry/atom) = -0.4297
- density of states at the Fermi level (states/eV/f.u.) = 21.9

Structure (CIF):
```
data_TbY12In3
_space_group_name_H-M_alt 'P 4/m m m'
_space_group_IT_number 123
_space_group_name_Hall '-P 4 2'
_cell_length_a 4.881
_cell_length_b 4.881
_cell_length_c 19.919
_cell_angle_alpha 90.00
_cell_angle_beta 90.00
_cell_angle_gamma 90.00
loop_
_atom_site_label
_atom_site_type_symbol
_atom_site_fract_x
_atom_site_fract_y
_atom_site_fract_z
_atom_site_occupancy
Tb1 Tb 0.000 0.000 0.000 1
Y1 Y 0.000 0.500 0.131 1
Y2 Y 0.000 0.500 0.377 1
Y3 Y 0.500 0.500 0.000 1
Y4 Y 0.500 0.500 0.256 1
Y5 Y 0.500 0.500 0.500 1
In1 In 0.000 0.000 0.257 1
In2 In 0.000 0.000 0.500 1
```